No. 1
Computed, not measured: an optimized crystal structure of TlSiPCl2 at the PBE level of DFT.

Lattice parameters (Å, degrees): 5.038 5.038 4.653 90.00 90.00 90.00
Element x y z (fractional)
1 Cl 0.500 0.000 0.000
2 Cl 0.000 0.500 0.000
3 Tl 0.500 0.500 0.500
4 Si 0.000 0.000 0.000
5 P 0.000 0.000 0.500

- SG = No. 123
- offset from the most stable computed form (meV/atom) = 0.0
- formation energy from raw total energies (eV/atom) = -0.138
- crystal system = tetragonal
- density (g cm⁻³) = 4.70
- calculated volume (Å³ per cell) = 118.12

=====

No. 2
Computed, not measured: an optimized crystal structure of La2Pr4Ru at the PBE level of DFT.

Lattice parameters (Å, degrees): 5.451 5.451 9.661 73.61 73.61 90.00
Element x y z (fractional)
1 Pr 0.500 0.000 0.000
2 Pr 0.839 0.839 0.322
3 Pr 0.161 0.161 0.678
4 Pr 0.000 0.500 0.000
5 La 0.351 0.351 0.297
6 La 0.649 0.649 0.703
7 Ru 0.000 0.000 0.000

- SG = No. 139
- crystal system = tetragonal
- ΔH_f (0 K) (eV per atom) = 0.218
- density (g cm⁻³) = 5.95
- calculated volume (Å³ per cell) = 263.23

=====

No. 3
Computed, not measured: an optimized crystal structure of CaBe2Al at the PBE level of DFT.

Lattice parameters (Å, degrees): 8.763 8.763 8.763 20.08 20.08 20.08
Element x y z (fractional)
1 Al 0.750 0.750 0.750
2 Be 0.010 0.010 0.010
3 Be 0.490 0.490 0.490
4 Ca 0.250 0.250 0.250

- SG = No. 166
- crystal system = trigonal
- ΔH_f (0 K) (eV per atom) = 0.691
- density (g cm⁻³) = 2.04
- calculated volume (Å³ per cell) = 69.42

=====

No. 4
Computed, not measured: an optimized crystal structure of Rb2PuCd3Bi4 at the PBE level of DFT.

Lattice parameters (Å, degrees): 5.285 5.285 12.829 90.00 90.00 90.00
Element x y z (fractional)
1 Rb 0.000 0.500 0.765
2 Rb 0.500 0.000 0.235
3 Bi 0.500 0.000 0.639
4 Bi 0.000 0.000 0.000
5 Bi 0.000 0.500 0.361
6 Bi 0.500 0.500 0.000
7 Cd 0.500 0.000 0.875
8 Cd 0.000 0.500 0.125
9 Cd 0.000 0.000 0.500
10 Pu 0.500 0.500 0.500

- SG = No. 115
- crystal system = tetragonal
- ΔH_f (0 K) (eV per atom) = -0.209
- density (g cm⁻³) = 7.36
- calculated volume (Å³ per cell) = 358.34

=====

No. 5
Computed, not measured: an optimized crystal structure of CeMoP2Os at the PBE level of DFT.

Lattice parameters (Å, degrees): 4.183 4.183 5.710 111.49 111.49 90.00
Element x y z (fractional)
1 Mo 0.250 0.750 0.500
2 P 0.631 0.631 0.262
3 P 0.369 0.369 0.738
4 Ce 0.000 0.000 0.000
5 Os 0.750 0.250 0.500

- SG = No. 119
- crystal system = tetragonal
- ΔH_f (0 K) (eV per atom) = -0.743
- density (g cm⁻³) = 9.49
- calculated volume (Å³ per cell) = 85.47

=====

No. 6
Computed, not measured: an optimized crystal structure of Li2Nd3Cu9 at the PBE level of DFT.

Lattice parameters (Å, degrees): 4.305 8.026 8.026 66.08 74.44 74.44
Element x y z (fractional)
1 Li 0.500 0.306 0.694
2 Li 0.500 0.694 0.306
3 Cu 0.128 0.586 0.159
4 Cu 0.333 0.314 0.020
5 Cu 0.000 0.500 0.500
6 Cu 0.667 0.980 0.686
7 Cu 0.333 0.020 0.314
8 Cu 0.667 0.686 0.980
9 Cu 0.872 0.841 0.414
10 Cu 0.872 0.414 0.841
11 Cu 0.128 0.159 0.586
12 Nd 0.292 0.708 0.708
13 Nd 0.000 0.000 0.000
14 Nd 0.708 0.292 0.292

- SG = No. 71
- crystal system = orthorhombic
- ΔH_f (0 K) (eV per atom) = -0.138
- density (g cm⁻³) = 7.04
- calculated volume (Å³ per cell) = 240.21

=====

No. 7
Computed, not measured: an optimized crystal structure of LaSmHo2 at the PBE level of DFT.

Lattice parameters (Å, degrees): 9.821 9.109 9.109 80.33 136.08 136.08
Element x y z (fractional)
1 La 0.250 0.374 0.626
2 La 0.750 0.626 0.374
3 Ho 0.823 0.439 0.135
4 Ho 0.323 0.135 0.439
5 Ho 0.677 0.865 0.561
6 Ho 0.177 0.561 0.865
7 Sm 0.750 0.079 0.921
8 Sm 0.250 0.921 0.079

- SG = No. 15
- offset from the most stable computed form (meV/atom) = 29.2
- crystal system = monoclinic
- ΔH_f (0 K) (eV per atom) = 0.045
- density (g cm⁻³) = 7.67
- calculated volume (Å³ per cell) = 268.22

=====

No. 8
Computed, not measured: an optimized crystal structure of KRb2Se2 at the PBE level of DFT.

Lattice parameters (Å, degrees): 8.764 8.764 4.956 90.00 90.00 90.00
Element x y z (fractional)
1 Rb 0.351 0.149 0.500
2 Rb 0.649 0.851 0.500
3 Rb 0.851 0.351 0.500
4 Rb 0.149 0.649 0.500
5 Se 0.141 0.359 0.000
6 Se 0.359 0.859 0.000
7 Se 0.641 0.141 0.000
8 Se 0.859 0.641 0.000
9 K 0.000 0.000 0.000
10 K 0.500 0.500 0.000

- SG = No. 127
- offset from the most stable computed form (meV/atom) = 0.0
- formation energy from raw total energies (eV/atom) = -0.859
- crystal system = tetragonal
- density (g cm⁻³) = 3.21
- calculated volume (Å³ per cell) = 380.69